Here is VNiRuRh after structural relaxation from the Alexandria database. Energies are from PBE-GGA.

Properties
ΔH_f (0 K) = -0.118 eV per atom
excess energy over the best structure of this formula in the dataset = 0.124 eV per atom
volume = 52.5 Å³/f.u.

Unit cell a=5.944 b=5.944 c=5.944 alpha=90.00 beta=90.00 gamma=90.00
Fractional positions:
V1 0.000 0.000 0.000
V2 0.000 0.500 0.500
V3 0.500 0.000 0.500
V4 0.500 0.500 0.000
Ni1 0.000 0.000 0.500
Ni2 0.000 0.500 0.000
Ni3 0.500 0.000 0.000
Ni4 0.500 0.500 0.500
Ru1 0.250 0.250 0.250
Ru2 0.250 0.750 0.750
Ru3 0.750 0.250 0.750
Ru4 0.750 0.750 0.250
Rh1 0.250 0.250 0.750
Rh2 0.250 0.750 0.250
Rh3 0.750 0.250 0.250
Rh4 0.750 0.750 0.750


Here is Fe3Rh4 after structural relaxation from the Alexandria database. Energies are from PBE-GGA.

Properties
ΔH_f (0 K) = 0.110 eV per atom
excess energy over the best structure of this formula in the dataset = 0.101 eV per atom
volume = 93.6 Å³/f.u.

Unit cell a=4.688 b=4.688 c=4.915 alpha=90.00 beta=90.00 gamma=120.00
Fractional positions:
Fe1 0.000 0.500 0.000
Fe2 0.500 0.000 0.000
Fe3 0.500 0.500 0.000
Rh1 0.000 0.000 0.255
Rh2 0.000 0.000 0.745
Rh3 0.333 0.667 0.500
Rh4 0.667 0.333 0.500


Here is KMg2Rh after structural relaxation from the Alexandria database. Energies are from PBE-GGA.

Properties
ΔH_f (0 K) = 0.031 eV per atom
excess energy over the best structure of this formula in the dataset = 0.150 eV per atom
volume = 115.1 Å³/f.u.

Unit cell a=9.289 b=3.245 c=8.003 alpha=90.00 beta=107.47 gamma=90.00
Fractional positions:
K1 0.000 0.000 0.000
K2 0.500 0.500 0.000
Mg1 0.167 0.000 0.619
Mg2 0.375 0.000 0.372
Mg3 0.667 0.500 0.619
Mg4 0.875 0.500 0.372
Rh1 0.151 0.500 0.367
Rh2 0.651 0.000 0.367


Here is Tl2BiAu2 after structural relaxation from the Alexandria database. Energies are from PBE-GGA.

Properties
ΔH_f (0 K) = 0.124 eV per atom
excess energy over the best structure of this formula in the dataset = 0.160 eV per atom
volume = 131.1 Å³/f.u.

Unit cell a=4.401 b=4.401 c=13.540 alpha=90.00 beta=90.00 gamma=90.00
Fractional positions:
Tl1 0.000 0.500 0.250
Tl2 0.000 0.500 0.750
Tl3 0.500 0.000 0.250
Tl4 0.500 0.000 0.750
Bi1 0.000 0.000 0.000
Bi2 0.500 0.500 0.500
Au1 0.000 0.000 0.401
Au2 0.000 0.000 0.599
Au3 0.500 0.500 0.099
Au4 0.500 0.500 0.901


Here is LiYRe3 after structural relaxation from the Alexandria database. Energies are from PBE-GGA.

Properties
ΔH_f (0 K) = 2.969 eV per atom
excess energy over the best structure of this formula in the dataset = 1.761 eV per atom
volume = 116.9 Å³/f.u.

Unit cell a=4.890 b=4.890 c=4.890 alpha=90.00 beta=90.00 gamma=90.00
Fractional positions:
Li1 0.000 0.000 0.000
Y1 0.500 0.500 0.500
Re1 0.000 0.500 0.500
Re2 0.500 0.000 0.500
Re3 0.500 0.500 0.000


Here is NaCa5Mg4 after structural relaxation from the Alexandria database. Energies are from PBE-GGA.

Properties
ΔH_f (0 K) = -0.054 eV per atom
volume = 326.8 Å³/f.u.

Unit cell a=3.957 b=3.957 c=20.871 alpha=90.00 beta=90.00 gamma=90.00
Fractional positions:
Na1 0.000 0.000 0.000
Ca1 0.500 0.500 0.119
Ca2 0.500 0.500 0.310
Ca3 0.500 0.500 0.500
Ca4 0.500 0.500 0.690
Ca5 0.500 0.500 0.881
Mg1 0.000 0.000 0.214
Mg2 0.000 0.000 0.405
Mg3 0.000 0.000 0.595
Mg4 0.000 0.000 0.786